[1]
## CrAuCl2 (PBE)

Data for CrAuCl2 after structural relaxation.

Density of states at the Fermi level: 1.7 states/eV per cell
Space-group type: Cmmm
ρ: 5.3 Mg/m³
Total energy: -17.7 eV/cell

Cell: 3.313 3.313 10.567 Å, 90.00 90.00 121.12°
Site moments in Bohr magnetons follow the coordinates.
Element x y z (fractional)
Cl: 0.000 0.000 0.407  0.01
Cl: 0.000 0.000 0.093  0.01
Cr: 0.500 0.500 0.250  3.53
Au: 0.500 0.500 0.750  -0.01

=====

[2]
## KFeRe2 (PBE)

Data for KFeRe2 after structural relaxation.

Density of states at the Fermi level: 5.4 states/eV per cell
ΔE_f: 1387 meV/atom
Space-group type: C2/m
ρ: 11.3 Mg/m³
Total energy: -28.9 eV/cell

Cell: 5.206 5.802 2.599 Å, 81.65 79.88 114.16°
Site moments in Bohr magnetons follow the coordinates.
Element x y z (fractional)
Re: 0.500 0.000 0.500  0.10
Re: 0.000 0.000 0.000  0.10
K: 0.500 0.500 0.000  0.00
Fe: 0.000 0.500 0.500  2.79

=====

[3]
## La15DyTm4 (PBE)

Data for La15DyTm4 after structural relaxation.

Density of states at the Fermi level: 23.5 states/eV per cell
ΔE_f: 6 meV/atom
Space-group type: P4/mmm
ρ: 6.9 Mg/m³
Total energy: -96.3 eV/cell

Cell: 5.192 5.192 25.955 Å, 90.00 90.00 90.00°
Element x y z (fractional)
La: 0.000 0.500 0.900
La: 0.000 0.500 0.100
La: 0.500 0.000 0.300
La: 0.500 0.000 0.500
La: 0.500 0.500 0.200
La: 0.500 0.500 0.600
La: 0.500 0.000 0.700
La: 0.500 0.000 0.100
La: 0.500 0.500 0.000
La: 0.500 0.500 0.800
La: 0.000 0.500 0.500
La: 0.500 0.500 0.400
La: 0.500 0.000 0.900
La: 0.000 0.500 0.700
La: 0.000 0.500 0.300
Tm: 0.000 0.000 0.600
Tm: 0.000 0.000 0.800
Tm: 0.000 0.000 0.200
Tm: 0.000 0.000 0.400
Dy: 0.000 0.000 0.000

=====

Which value of ρ does entry 2 give?
11.3 Mg/m³

=====

What is the ρ in the first record?
5.3 Mg/m³

=====

The highest density of states at the Fermi level belongs to which entry?
La15DyTm4